# Tl5Ga2Se5

A relaxed structure of Tl5Ga2Se5 (GGA-PBE, Alexandria).

Structure (POSCAR):
```
Tl5Ga2Se5
1.0
7.5982 -2.0401 0.0000
7.5982 2.0401 0.0000
-1.8190 0.0000 11.5773
Tl Ga Se
5 2 5
Direct
0.0000 0.0000 0.0000
0.1516 0.1516 0.5897
0.2620 0.2620 0.8814
0.7380 0.7380 0.1186
0.8484 0.8484 0.4103
0.4611 0.4611 0.7045
0.5389 0.5389 0.2955
0.1357 0.1357 0.2820
0.3965 0.3965 0.1689
0.5000 0.5000 0.5000
0.6035 0.6035 0.8311
0.8643 0.8643 0.7180
```

Values from the calculation:
The total moment comes out at 0.00 μB/f.u. The total energy is -3.36 eV/atom. The uncorrected formation energy comes out at -0.414 eV/atom. As for the symmetry: C2/m, No. 12.

---

# Cu2NiIr

A relaxed structure of Cu2NiIr (GGA-PBE, Alexandria).

Structure (POSCAR):
```
Cu2NiIr
1.0
1.3492 -2.2051 0.0000
1.3492 2.2051 0.0000
0.0000 0.0000 8.5951
Cu Ni Ir
2 1 1
Direct
0.0000 0.0000 0.2379
0.0000 0.0000 0.7621
0.5000 0.5000 0.0000
0.5000 0.5000 0.5000
```

Values from the calculation:
The total moment comes out at 0.43 μB/f.u. The total energy is -5.54 eV/atom. As for the symmetry: Cmmm, No. 65. The value obtained for the formation energy from the elements is 0.171 eV/atom. The energy above the most stable polymorph in this dataset comes out at 119 meV/atom.

---

# TlCuSbS2

A relaxed structure of TlCuSbS2 (GGA-PBE, Alexandria).

Structure (POSCAR):
```
TlCuSbS2
1.0
7.3242 0.0000 0.0000
0.0000 4.0246 0.0000
-0.7543 0.0000 8.4391
Tl Cu Sb S
2 2 2 4
Direct
0.0000 0.1017 0.2500
0.0000 0.8983 0.7500
0.5000 0.0000 0.0000
0.5000 0.0000 0.5000
0.5000 0.4889 0.7500
0.5000 0.5111 0.2500
0.2616 0.3502 0.9846
0.2616 0.6498 0.4846
0.7384 0.3502 0.5154
0.7384 0.6498 0.0154
```

Values from the calculation:
The total moment comes out at 0.00 μB/f.u. The total energy is -3.88 eV/atom. The uncorrected formation energy comes out at -0.114 eV/atom. As for the symmetry: P2/c, No. 13.